Entry 1:
{"formula": "YAuSe2", "functional": "PBE", "state": "relaxed", "cell": [[7.311, 0.000, 0.000], [0.000, 4.127, 0.000], [0.000, 0.000, 14.994]], "species": ["Y", "Y", "Y", "Y", "Au", "Au", "Au", "Au", "Se", "Se", "Se", "Se", "Se", "Se", "Se", "Se"], "fractional_positions": [[0.109, 0.250, 0.098], [0.391, 0.750, 0.598], [0.609, 0.250, 0.402], [0.891, 0.750, 0.902], [0.155, 0.750, 0.258], [0.345, 0.250, 0.758], [0.655, 0.750, 0.242], [0.845, 0.250, 0.742], [0.096, 0.750, 0.735], [0.231, 0.750, 0.992], [0.269, 0.250, 0.492], [0.404, 0.250, 0.235], [0.596, 0.750, 0.765], [0.731, 0.750, 0.508], [0.769, 0.250, 0.008], [0.904, 0.250, 0.265]], "raw_formation_energy_ev_per_atom": -0.99, "spacegroup": "No. 62"}

=====

Entry 2:
{"formula": "Sr2MoPt", "functional": "PBE", "state": "relaxed", "cell": [[3.867, 0.000, 0.000], [0.000, 3.891, 0.000], [0.000, 0.000, 7.029]], "species": ["Sr", "Sr", "Mo", "Pt"], "fractional_positions": [[0.000, 0.000, 0.233], [0.000, 0.000, 0.767], [0.500, 0.500, 0.500], [0.500, 0.500, 0.000]], "polymorph_energy_mev_per_atom": 268, "spacegroup": "No. 47"}

=====

Entry 3:
{"formula": "Hf5Zr2PdRh2", "functional": "PBE", "state": "relaxed", "cell": [[11.144, 0.000, 0.000], [0.000, 11.144, 0.000], [0.000, 0.000, 3.315]], "species": ["Hf", "Hf", "Hf", "Hf", "Hf", "Hf", "Hf", "Hf", "Hf", "Hf", "Zr", "Zr", "Zr", "Zr", "Pd", "Pd", "Rh", "Rh", "Rh", "Rh"], "fractional_positions": [[0.000, 0.500, 0.000], [0.052, 0.200, 0.000], [0.200, 0.948, 0.000], [0.300, 0.448, 0.000], [0.448, 0.700, 0.000], [0.500, 0.000, 0.000], [0.552, 0.300, 0.000], [0.700, 0.552, 0.000], [0.800, 0.052, 0.000], [0.948, 0.800, 0.000], [0.178, 0.678, 0.500], [0.322, 0.178, 0.500], [0.678, 0.822, 0.500], [0.822, 0.322, 0.500], [0.000, 0.000, 0.500], [0.500, 0.500, 0.500], [0.133, 0.367, 0.500], [0.367, 0.867, 0.500], [0.633, 0.133, 0.500], [0.867, 0.633, 0.500]], "final_energy_ev_per_atom": -9.16, "spacegroup": "No. 127"}

=====

Entry 4:
{"formula": "NdY2", "functional": "PBE", "state": "relaxed", "cell": [[3.611, 0.000, 0.000], [-0.023, 7.216, 0.000], [-1.795, -1.818, 7.633]], "species": ["Nd", "Nd", "Y", "Y", "Y", "Y"], "fractional_positions": [[0.167, 0.084, 0.334], [0.833, 0.916, 0.666], [0.166, 0.582, 0.332], [0.499, 0.748, 0.000], [0.501, 0.252, 0.000], [0.834, 0.418, 0.668]], "polymorph_energy_mev_per_atom": 26, "spacegroup": "No. 2"}

=====

Entry 5:
{"formula": "Te2RuSe", "functional": "PBE", "state": "relaxed", "cell": [[4.274, 0.000, 0.000], [0.000, 4.274, 0.000], [0.000, 0.000, 4.761]], "species": ["Te", "Te", "Ru", "Se"], "fractional_positions": [[0.000, 0.500, 0.000], [0.500, 0.000, 0.000], [0.000, 0.000, 0.500], [0.500, 0.500, 0.500]], "raw_formation_energy_ev_per_atom": 0.79, "spacegroup": "No. 123"}

=====

Entry 6:
{"formula": "La2PrGa", "functional": "PBE", "state": "relaxed", "cell": [[1.907, 1.101, 10.650], [-1.907, 1.101, 10.650], [0.000, -2.202, 10.650]], "species": ["La", "La", "Pr", "Ga"], "fractional_positions": [[0.000, 0.000, 0.000], [0.192, 0.192, 0.192], [0.763, 0.763, 0.763], [0.596, 0.596, 0.596]], "polymorph_energy_mev_per_atom": 105, "spacegroup": "No. 160"}

=====

Entry 7:
{"formula": "LaSiPRh3", "functional": "PBE", "state": "relaxed", "cell": [[2.843, -7.100, 0.000], [2.843, 7.100, 0.000], [0.000, 0.000, 5.699]], "species": ["La", "La", "Si", "Si", "P", "P", "Rh", "Rh", "Rh", "Rh", "Rh", "Rh"], "fractional_positions": [[0.223, 0.777, 0.750], [0.777, 0.223, 0.250], [0.089, 0.911, 0.250], [0.911, 0.089, 0.750], [0.417, 0.583, 0.250], [0.583, 0.417, 0.750], [0.252, 0.252, 0.000], [0.252, 0.252, 0.500], [0.255, 0.745, 0.250], [0.745, 0.255, 0.750], [0.748, 0.748, 0.000], [0.748, 0.748, 0.500]], "raw_formation_energy_ev_per_atom": -0.93, "spacegroup": "No. 63"}

=====

Entry 8:
{"formula": "BaTaOs2", "functional": "PBE", "state": "relaxed", "cell": [[0.000, 3.355, 3.355], [3.355, 0.000, 3.355], [3.355, 3.355, 0.000]], "species": ["Ba", "Ta", "Os", "Os"], "fractional_positions": [[0.000, 0.000, 0.000], [0.250, 0.250, 0.250], [0.500, 0.500, 0.500], [0.750, 0.750, 0.750]], "polymorph_energy_mev_per_atom": 860, "spacegroup": "No. 216"}

=====

V? In order: 452.5, 105.7, 411.6, 198.9, 87.0, 134.1, 230.1, 75.6 Å³/cell.
N(E_F)? In order: 0.14, 0.70, 0.92, 1.48, 0.71, 1.25, 0.30, 0.51 states/eV/atom.